1.
Compound: Cs4RbHgO
Source: the Alexandria database
Functional: PBE-GGA
Structure: optimized geometry

a = 9.8790 Å, b = 9.8790 Å, c = 11.6356 Å
α = 101.34°, β = 101.34°, γ = 75.07°
Closest atoms and distances in Å follow each position.
Sites, in units of the cell vectors:
Cs 0.0030 0.3564 0.6460  1 O 2.69
Cs 0.0180 0.0180 0.2191  1 O 2.65
Cs 0.2624 0.2624 0.9830  1 O 2.65
Cs 0.3564 0.0030 0.6460  1 O 2.69
Cs 0.6436 0.9970 0.3540  1 O 2.69
Cs 0.7376 0.7376 0.0170  1 O 2.65
Cs 0.9820 0.9820 0.7809  1 O 2.65
Cs 0.9970 0.6436 0.3540  1 O 2.69
Rb 0.4774 0.4774 0.6892  2 Hg 3.94-4.01
Rb 0.5226 0.5226 0.3108  2 Hg 3.94-4.01
Hg 0.2890 0.2890 0.3937  2 Rb 3.94-4.01, 5 Cs 3.96-4.31
Hg 0.7110 0.7110 0.6063  2 Rb 3.94-4.01, 5 Cs 3.96-4.31
O 0.1493 0.1493 0.7716  4 Cs 2.65-2.69
O 0.8507 0.8507 0.2284  4 Cs 2.65-2.69

Crystal system: monoclinic
Total energy: -1.86 eV per atom

***

2.
Compound: CsRb6HgO
Source: the Alexandria database
Functional: PBE-GGA
Structure: optimized geometry

a = 8.5898 Å, b = 8.5898 Å, c = 10.9592 Å
α = 90.00°, β = 90.00°, γ = 120.00°
Closest atoms and distances in Å follow each position.
Sites, in units of the cell vectors:
Cs 0.0000 0.0000 0.0000  6 Rb 4.94
Rb 0.3962 0.0736 0.6514  1 O 2.82
Rb 0.3962 0.3227 0.3486  1 O 2.82
Rb 0.6773 0.0736 0.3486  1 O 2.82
Rb 0.6773 0.6038 0.6514  1 O 2.82
Rb 0.9264 0.3227 0.6514  1 O 2.82
Rb 0.9264 0.6038 0.3486  1 O 2.82
Hg 0.3333 0.6667 0.5000  6 Rb 3.66
O 0.6667 0.3333 0.5000  6 Rb 2.82

Crystal system: trigonal
Total energy: -1.63 eV per atom

***

3.
Compound: CsRb2HgO2
Source: the Alexandria database
Functional: PBE-GGA
Structure: optimized geometry

a = 6.5120 Å, b = 12.7372 Å, c = 4.5716 Å
α = 90.00°, β = 90.00°, γ = 90.00°
Closest atoms and distances in Å follow each position.
Sites, in units of the cell vectors:
Cs 0.0000 0.0000 0.0000  4 O 3.29
Cs 0.5000 0.5000 0.5000  4 O 3.29
Rb 0.0629 0.2733 0.5000  3 O 2.86-2.95
Rb 0.4371 0.7733 0.0000  3 O 2.86-2.95
Rb 0.5629 0.2267 0.0000  3 O 2.86-2.95
Rb 0.9371 0.7267 0.5000  3 O 2.86-2.95
Hg 0.0000 0.5000 0.0000  2 O 2.11
Hg 0.5000 0.0000 0.5000  2 O 2.11
O 0.2235 0.3800 0.0000  1 Hg 2.11
O 0.2765 0.8800 0.5000  1 Hg 2.11
O 0.7235 0.1200 0.5000  1 Hg 2.11
O 0.7765 0.6200 0.0000  1 Hg 2.11

Crystal system: orthorhombic
Total energy: -2.97 eV per atom

***

4.
Compound: Cs3RbHgO
Source: the Alexandria database
Functional: PBE-GGA
Structure: optimized geometry

a = 13.5119 Å, b = 13.5119 Å, c = 7.4623 Å
α = 92.43°, β = 92.43°, γ = 147.70°
Closest atoms and distances in Å follow each position.
Sites, in units of the cell vectors:
Cs 0.1390 0.8610 0.7500  1 O 2.72
Cs 0.1963 0.2555 0.9801  2 O 2.77-2.83
Cs 0.2555 0.1963 0.4801  2 O 2.77-2.83
Cs 0.7445 0.8037 0.5199  2 O 2.77-2.83
Cs 0.8037 0.7445 0.0199  2 O 2.77-2.83
Cs 0.8610 0.1390 0.2500  1 O 2.72
Rb 0.3054 0.6946 0.7500  4 Hg 3.97-4.05, 1 Cs 4.32
Rb 0.6946 0.3054 0.2500  4 Hg 3.97-4.05, 1 Cs 4.32
Hg 0.2529 0.7471 0.2500  4 Rb 3.97-4.05
Hg 0.7471 0.2529 0.7500  4 Rb 3.97-4.05
O 0.0341 0.9659 0.7500  5 Cs 2.72-2.83
O 0.9659 0.0341 0.2500  5 Cs 2.72-2.83

Crystal system: monoclinic
Total energy: -1.99 eV per atom

***

5.
Compound: CsRb4HgO
Source: the Alexandria database
Functional: PBE-GGA
Structure: optimized geometry

a = 10.1937 Å, b = 10.1937 Å, c = 9.9360 Å
α = 109.02°, β = 109.02°, γ = 69.08°
Closest atoms and distances in Å follow each position.
Sites, in units of the cell vectors:
Cs 0.0220 0.0220 0.2621  2 Hg 3.97-4.07
Cs 0.9780 0.9780 0.7379  2 Hg 3.97-4.07
Rb 0.1007 0.4587 0.7943  1 O 2.63
Rb 0.3548 0.3548 0.5283  1 O 2.64
Rb 0.4463 0.4463 0.1154  2 O 2.71-2.81
Rb 0.4587 0.1007 0.7943  1 O 2.63
Rb 0.5413 0.8993 0.2057  1 O 2.63
Rb 0.5537 0.5537 0.8846  2 O 2.71-2.81
Rb 0.6452 0.6452 0.4717  1 O 2.64
Rb 0.8993 0.5413 0.2057  1 O 2.63
Hg 0.2024 0.2024 0.0836  6 Rb 3.88-4.14, 2 Cs 3.97-4.07
Hg 0.7976 0.7976 0.9164  6 Rb 3.88-4.14, 2 Cs 3.97-4.07
O 0.3797 0.3797 0.8079  5 Rb 2.63-2.81
O 0.6203 0.6203 0.1921  5 Rb 2.63-2.81

Crystal system: monoclinic
Total energy: -1.87 eV per atom

***

6.
Compound: Cs6Rb3Hg2O
Source: the Alexandria database
Functional: PBE-GGA
Structure: optimized geometry

a = 8.7236 Å, b = 8.7236 Å, c = 12.1873 Å
α = 94.55°, β = 94.55°, γ = 110.93°
Closest atoms and distances in Å follow each position.
Sites, in units of the cell vectors:
Cs 0.0212 0.3072 0.1322  1 O 2.95
Cs 0.1905 0.1905 0.8319  1 O 2.97
Cs 0.3072 0.0212 0.1322  1 O 2.95
Cs 0.6928 0.9788 0.8678  1 O 2.95
Cs 0.8095 0.8095 0.1681  1 O 2.97
Cs 0.9788 0.6928 0.8678  1 O 2.95
Rb 0.1785 0.8215 0.5000  2 Rb 4.62-5.13, 4 Cs 4.94-5.00
Rb 0.5000 0.5000 0.5000  2 Rb 4.62
Rb 0.8215 0.1785 0.5000  2 Rb 4.62-5.13, 4 Cs 4.94-5.00
Hg 0.3913 0.6087 0.0000  1 Hg 3.12
Hg 0.6087 0.3913 0.0000  1 Hg 3.12
O 0.0000 0.0000 0.0000  6 Cs 2.95-2.97

Crystal system: monoclinic
Total energy: -1.43 eV per atom

***

7.
Compound: Cs2RbHgO2
Source: the Alexandria database
Functional: PBE-GGA
Structure: optimized geometry

a = 6.6911 Å, b = 13.3310 Å, c = 4.4918 Å
α = 90.00°, β = 90.00°, γ = 90.00°
Closest atoms and distances in Å follow each position.
Sites, in units of the cell vectors:
Cs 0.0822 0.2251 0.0000  3 O 2.94-3.25
Cs 0.4178 0.7251 0.5000  3 O 2.94-3.25
Cs 0.5822 0.2749 0.5000  3 O 2.94-3.25
Cs 0.9178 0.7749 0.0000  3 O 2.94-3.25
Rb 0.0000 0.5000 0.5000  4 O 3.19
Rb 0.5000 0.0000 0.0000  4 O 3.19
Hg 0.0000 0.0000 0.5000  2 O 2.10
Hg 0.5000 0.5000 0.0000  2 O 2.10
O 0.2341 0.1053 0.5000  1 Hg 2.10
O 0.2659 0.6053 0.0000  1 Hg 2.10
O 0.7341 0.3947 0.0000  1 Hg 2.10
O 0.7659 0.8947 0.5000  1 Hg 2.10

Crystal system: orthorhombic
Total energy: -2.93 eV per atom

***

8.
Compound: CsRb6Hg2O
Source: the Alexandria database
Functional: PBE-GGA
Structure: optimized geometry

a = 13.5047 Å, b = 13.5047 Å, c = 13.5047 Å
α = 47.22°, β = 47.22°, γ = 47.22°
Closest atoms and distances in Å follow each position.
Sites, in units of the cell vectors:
Cs 0.0709 0.0709 0.0709  1 O 2.55
Cs 0.9291 0.9291 0.9291  1 O 2.55
Rb 0.1638 0.1638 0.5781  1 Hg 3.68, 1 O 3.83, 1 Cs 3.92
Rb 0.1638 0.5781 0.1638  1 Hg 3.68, 1 O 3.83, 1 Cs 3.92
Rb 0.2970 0.6665 0.6665  1 O 2.78
Rb 0.3335 0.3335 0.7030  1 O 2.78
Rb 0.3335 0.7030 0.3335  1 O 2.78
Rb 0.4219 0.8362 0.8362  1 Hg 3.68, 1 O 3.83, 1 Cs 3.92
Rb 0.5781 0.1638 0.1638  1 Hg 3.68, 1 O 3.83, 1 Cs 3.92
Rb 0.6665 0.2970 0.6665  1 O 2.78
Rb 0.6665 0.6665 0.2970  1 O 2.78
Rb 0.7030 0.3335 0.3335  1 O 2.78
Rb 0.8362 0.4219 0.8362  1 Hg 3.68, 1 O 3.83, 1 Cs 3.92
Rb 0.8362 0.8362 0.4219  1 Hg 3.68, 1 O 3.83, 1 Cs 3.92
Hg 0.2035 0.2035 0.2035  6 Rb 4.38-4.88, 1 Cs 4.76
Hg 0.3750 0.3750 0.3750  6 Rb 3.68-3.73
Hg 0.6250 0.6250 0.6250  6 Rb 3.68-3.73
Hg 0.7965 0.7965 0.7965  6 Rb 4.38-4.88, 1 Cs 4.76
O 0.0000 0.0000 0.0000  2 Cs 2.55
O 0.5000 0.5000 0.5000  6 Rb 2.78

Crystal system: trigonal
Total energy: -1.48 eV per atom

***

- What is the formula in the third record?
  CsRb2HgO2